DFT (PBE-GGA) results for an optimized crystal structure of SeF.

raw formation energy = -0.717 eV/atom
relative energy among the computed polymorphs = 0.69 eV/f.u.
calculated volume = 41.6 Å³/f.u.

Cell: 7.9069 7.9069 7.9069 Å, 91.73 91.73 160.00°
Atoms (fractional coordinates):
1 Se 0.0025 0.6779 0.6804
2 Se 0.3221 0.0025 0.3246
3 Se 0.6779 0.9975 0.6754
4 Se 0.9975 0.3221 0.3196
5 F 0.1047 0.1970 0.3017
6 F 0.1970 0.8953 0.0923
7 F 0.8030 0.1047 0.9077
8 F 0.8953 0.8030 0.6983

DFT (PBE-GGA) results for an optimized crystal structure of ScAs5.

energy of formation = 0.184 eV per atom
relative energy among the computed polymorphs = 2.40 eV/f.u.
calculated volume = 126.5 Å³/f.u.

Cell: 5.3906 5.3906 5.0272 Å, 90.00 90.00 120.00°
Atoms (fractional coordinates):
1 Sc 0.0000 0.0000 0.0000
2 As 0.0000 0.5000 0.5000
3 As 0.3333 0.6667 0.0000
4 As 0.5000 0.0000 0.5000
5 As 0.5000 0.5000 0.5000
6 As 0.6667 0.3333 0.0000

DFT (PBE-GGA) results for an optimized crystal structure of Tb3NdZn8.

energy of formation = -0.316 eV per atom
calculated volume = 235.5 Å³/f.u.

Cell: 5.5993 5.5993 8.6734 Å, 90.00 90.00 120.00°
Atoms (fractional coordinates):
1 Tb 0.0000 0.0000 0.0000
2 Tb 0.0000 0.0000 0.3874
3 Tb 0.3333 0.6667 0.8857
4 Nd 0.3333 0.6667 0.4952
5 Zn 0.3311 0.1656 0.6942
6 Zn 0.5008 0.0016 0.1882
7 Zn 0.5008 0.4992 0.1882
8 Zn 0.6667 0.3333 0.4431
9 Zn 0.6667 0.3333 0.9403
10 Zn 0.8344 0.1656 0.6942
11 Zn 0.8344 0.6689 0.6942
12 Zn 0.9984 0.4992 0.1882

DFT (PBE-GGA) results for an optimized crystal structure of Li2TlIn.

energy of formation = -0.135 eV per atom
calculated volume = 90.3 Å³/f.u.

Cell: 9.4596 9.4596 9.4596 Å, 20.44 20.44 20.44°
Atoms (fractional coordinates):
1 Li 0.2485 0.2485 0.2485
2 Li 0.7515 0.7515 0.7515
3 Tl 0.0000 0.0000 0.0000
4 In 0.5000 0.5000 0.5000

DFT (PBE-GGA) results for an optimized crystal structure of MgH12Rh7.

DFT total energy = -4.68 eV/atom
calculated volume = 166.4 Å³/f.u.

Cell: 5.5173 5.5173 5.5173 Å, 94.34 94.34 94.34°
Atoms (fractional coordinates):
1 Mg 0.0000 0.0000 0.0000
2 H 0.0093 0.1138 0.6440
3 H 0.1138 0.6440 0.0093
4 H 0.1767 0.5077 0.4437
5 H 0.3560 0.9907 0.8862
6 H 0.4437 0.1767 0.5077
7 H 0.4923 0.5563 0.8233
8 H 0.5077 0.4437 0.1767
9 H 0.5563 0.8233 0.4923
10 H 0.6440 0.0093 0.1138
11 H 0.8233 0.4923 0.5563
12 H 0.8862 0.3560 0.9907
13 H 0.9907 0.8862 0.3560
14 Rh 0.0753 0.4242 0.7455
15 Rh 0.2545 0.9247 0.5758
16 Rh 0.4242 0.7455 0.0753
17 Rh 0.5000 0.5000 0.5000
18 Rh 0.5758 0.2545 0.9247
19 Rh 0.7455 0.0753 0.4242
20 Rh 0.9247 0.5758 0.2545

DFT (PBE-GGA) results for an optimized crystal structure of Ta3SnRh.

energy of formation = 0.898 eV per atom
relative energy among the computed polymorphs = 0.00 eV/f.u.
calculated volume = 112.0 Å³/f.u.

Cell: 4.8206 4.8206 4.8206 Å, 90.00 90.00 90.00°
Atoms (fractional coordinates):
1 Ta 0.0000 0.0000 0.5000
2 Ta 0.0000 0.5000 0.0000
3 Ta 0.5000 0.0000 0.0000
4 Sn 0.5000 0.5000 0.5000
5 Rh 0.0000 0.0000 0.0000